Compound: Li3CuS2
Source: Alexandria
Functional: GGA-PBE
Structure: optimized geometry

Output
N(E_F) = 0.000 states/eV per atom
symmetry = No. 206
spin magnetization = 0.00 Bohr magnetons per cell
E_form (uncorrected) = -1.026 eV per atom
raw total energy = -4.04 eV per atom

a = 9.771 Å, b = 9.771 Å, c = 9.771 Å
α = 109.47°, β = 109.47°, γ = 109.47°
Fractional coordinates of all 48 atoms:
Li: 0.749 0.998 0.996
Li: 0.998 0.502 0.251
Li: 0.749 0.002 0.498
Li: 0.751 0.249 0.253
Li: 0.496 0.498 0.247
Li: 0.004 0.251 0.002
Li: 0.002 0.004 0.251
Li: 0.498 0.749 0.002
Li: 0.747 0.249 0.751
Li: 0.753 0.504 0.502
Li: 0.498 0.247 0.496
Li: 0.751 0.747 0.249
Li: 0.502 0.753 0.504
Li: 0.249 0.253 0.751
Li: 0.247 0.496 0.498
Li: 0.253 0.751 0.249
Li: 0.998 0.996 0.749
Li: 0.502 0.251 0.998
Li: 0.504 0.502 0.753
Li: 0.996 0.749 0.998
Li: 0.251 0.998 0.502
Li: 0.249 0.751 0.747
Li: 0.002 0.498 0.749
Li: 0.251 0.002 0.004
Cu: 0.756 0.500 0.000
Cu: 0.500 0.000 0.244
Cu: 0.256 0.256 0.256
Cu: 0.244 0.500 0.000
Cu: 0.500 0.000 0.756
Cu: 0.000 0.244 0.500
Cu: 0.744 0.744 0.744
Cu: 0.000 0.756 0.500
S: 0.750 0.002 0.252
S: 0.000 0.000 0.000
S: 0.500 0.000 0.500
S: 0.500 0.500 0.000
S: 0.498 0.248 0.250
S: 0.998 0.748 0.250
S: 0.250 0.498 0.248
S: 0.248 0.250 0.498
S: 0.252 0.750 0.002
S: 0.752 0.750 0.502
S: 0.748 0.250 0.998
S: 0.750 0.502 0.752
S: 0.000 0.500 0.500
S: 0.002 0.252 0.750
S: 0.502 0.752 0.750
S: 0.250 0.998 0.748


Compound: LaRhSCl2
Source: Alexandria
Functional: GGA-PBE
Structure: optimized geometry

Output
N(E_F) = 0.020 states/eV per atom
symmetry = No. 123
spin magnetization = 2.01 Bohr magnetons per cell
E_form (uncorrected) = -0.571 eV per atom
raw total energy = -4.59 eV per atom

a = 5.487 Å, b = 5.487 Å, c = 5.604 Å
α = 90.00°, β = 90.00°, γ = 90.00°
Fractional coordinates of all 5 atoms:
S: 0.000 0.000 0.500
Cl: 0.000 0.500 0.000
Cl: 0.500 0.000 0.000
Rh: 0.500 0.500 0.500
La: 0.000 0.000 0.000


Compound: Tb2Sm3Er6Th
Source: Alexandria
Functional: GGA-PBE
Structure: optimized geometry

Output
N(E_F) = 1.259 states/eV per atom
symmetry = No. 12
spin magnetization = 0.00 Bohr magnetons per cell
ΔH_f (0 K) = 0.021 eV per atom
raw total energy = -4.83 eV per atom

a = 6.163 Å, b = 6.163 Å, c = 11.723 Å
α = 95.04°, β = 95.04°, γ = 119.98°
Fractional coordinates of all 12 atoms:
Tb: 0.333 0.667 0.000
Tb: 0.667 0.333 0.000
Sm: 0.167 0.833 0.500
Sm: 0.833 0.167 0.500
Sm: 0.500 0.500 0.500
Er: 0.917 0.587 0.752
Er: 0.754 0.754 0.248
Er: 0.083 0.413 0.248
Er: 0.587 0.917 0.752
Er: 0.246 0.246 0.752
Er: 0.413 0.083 0.248
Th: 0.000 0.000 0.000